CsAuSe4: optimized geometry, PBE.

abc: 5.2764 5.2763 7.8450
angles: 94.85 94.85 86.38
Sites, in units of the cell vectors:
1 Se 0.0726 0.0726 0.6927
2 Se 0.6905 0.6905 0.0763
3 Au 0.0000 0.0000 0.0000
4 Cs 0.5000 0.5000 0.5000
5 Se 0.9274 0.9274 0.3073
6 Se 0.3095 0.3095 0.9237

Results
Offset from the most stable computed form (meV per atom): 190.0
Theoretical density (g/cm3): 4.953
DFT total energy (eV per atom): -3.218
Symmetry: C2/m (12)

---

Cs6Au3Se: optimized geometry, PBE.

abc: 6.1610 10.5469 14.9696
angles: 90.01 90.00 90.00
Sites, in units of the cell vectors:
1 Au 0.5000 0.5000 0.0000
2 Au 0.0000 0.0000 0.5000
3 Cs 0.0000 0.0102 0.7561
4 Au 0.5000 0.8550 0.6953
5 Cs 0.5000 0.1737 0.5619
6 Cs 0.5000 0.5102 0.7439
7 Cs 0.0000 0.3263 0.0619
8 Au 0.0000 0.3550 0.8047
9 Cs 0.0000 0.6737 0.9381
10 Cs 0.5000 0.4898 0.2561
11 Cs 0.0000 0.6575 0.5849
12 Cs 0.0000 0.9898 0.2439
13 Se 0.5000 0.5000 0.5000
14 Au 0.0000 0.6450 0.1953
15 Cs 0.0000 0.3425 0.4151
16 Au 0.5000 0.1450 0.3047
17 Cs 0.5000 0.8263 0.4381
18 Se 0.0000 0.0000 0.0000
19 Cs 0.5000 0.1574 0.9151
20 Cs 0.5000 0.8426 0.0849

Results
Theoretical density (g/cm3): 5.010
DFT total energy (eV per atom): -2.322
Symmetry: Pnnm (58)

---

Cs4AuSe: optimized geometry, PBE.

abc: 8.6912 8.6912 10.5504
angles: 114.32 114.32 90.00
Sites, in units of the cell vectors:
1 Cs 0.8750 0.8622 0.2500
2 Au 0.7500 0.2500 0.5000
3 Au 0.0000 0.0000 0.0000
4 Cs 0.1378 0.1250 0.7500
5 Cs 0.3750 0.8622 0.2500
6 Se 0.2500 0.7500 0.5000
7 Se 0.5000 0.5000 0.0000
8 Cs 0.8750 0.3878 0.2500
9 Cs 0.1378 0.6250 0.7500
10 Cs 0.3750 0.3878 0.2500
11 Cs 0.6122 0.6250 0.7500
12 Cs 0.6122 0.1250 0.7500

Results
Offset from the most stable computed form (meV per atom): 0.0
Theoretical density (g/cm3): 4.140
DFT total energy (eV per atom): -2.318
Symmetry: I4_1/amd (141)

---

Cs2AuSe: optimized geometry, PBE.

abc: 6.1193 6.1193 6.1193
angles: 60.00 60.00 60.00
Sites, in units of the cell vectors:
1 Cs 0.2500 0.2500 0.2500
2 Se 0.0000 0.0000 0.0000
3 Au 0.5000 0.5000 0.5000
4 Cs 0.7500 0.7500 0.7500

Results
Offset from the most stable computed form (meV per atom): 224.4
Theoretical density (g/cm3): 5.552
DFT total energy (eV per atom): -2.544
Symmetry: Fm-3m (225)

---

CsAu2Se2: optimized geometry, PBE.

abc: 7.6187 7.6187 7.6187
angles: 145.44 145.44 49.67
Sites, in units of the cell vectors:
1 Au 0.7500 0.2500 0.5000
2 Se 0.6419 0.6419 0.0000
3 Se 0.3581 0.3581 0.0000
4 Cs 0.0000 0.0000 0.0000
5 Au 0.2500 0.7500 0.5000

Results
Offset from the most stable computed form (meV per atom): 131.1
Theoretical density (g/cm3): 8.030
DFT total energy (eV per atom): -3.175
Symmetry: I4/mmm (139)

---

Cs8Au4Se: optimized geometry, PBE.

abc: 10.4884 10.4884 10.4884
angles: 59.58 59.58 59.58
Sites, in units of the cell vectors:
1 Cs 0.7402 0.7402 0.2725
2 Au 0.0000 0.5000 0.5000
3 Cs 0.7443 0.7443 0.7443
4 Cs 0.7275 0.2598 0.2598
5 Se 0.5000 0.5000 0.5000
6 Cs 0.2557 0.2557 0.2557
7 Cs 0.7402 0.2725 0.7402
8 Cs 0.2598 0.7275 0.2598
9 Cs 0.2725 0.7402 0.7402
10 Au 0.0000 0.0000 0.0000
11 Au 0.5000 0.5000 0.0000
12 Cs 0.2598 0.2598 0.7275
13 Au 0.5000 0.0000 0.5000

Results
Theoretical density (g/cm3): 3.967
DFT total energy (eV per atom): -2.223
Symmetry: R-3m (166)

---

CsAuSe5: optimized geometry, PBE.

abc: 10.2082 10.2084 6.7935
angles: 107.20 107.20 118.92
Sites, in units of the cell vectors:
1 Au 0.5000 0.5000 0.5000
2 Se 0.3220 0.1780 0.2500
3 Se 0.6004 0.2295 0.0614
4 Cs 0.2154 0.2846 0.7500
5 Se 0.7796 0.3297 0.9072
6 Au 0.0000 0.0000 0.0000
7 Se 0.2705 0.8996 0.4386
8 Se 0.6780 0.8220 0.7500
9 Se 0.8297 0.2796 0.4072
10 Se 0.3996 0.7705 0.9386
11 Se 0.1703 0.7204 0.5928
12 Se 0.2204 0.6703 0.0928
13 Cs 0.7846 0.7154 0.2500
14 Se 0.7295 0.1004 0.5614

Results
Theoretical density (g/cm3): 4.776
DFT total energy (eV per atom): -3.324
Symmetry: C2/c (15)

---

Cs4AuSe: optimized geometry, PBE.

abc: 6.0059 6.0059 9.0107
angles: 90.00 90.00 90.00
Sites, in units of the cell vectors:
1 Au 0.0000 0.0000 0.0000
2 Se 0.0000 0.0000 0.5000
3 Cs 0.5000 0.0000 0.7398
4 Cs 0.5000 0.0000 0.2602
5 Cs 0.0000 0.5000 0.2602
6 Cs 0.0000 0.5000 0.7398

Results
Offset from the most stable computed form (meV per atom): 40.0
Theoretical density (g/cm3): 4.126
DFT total energy (eV per atom): -2.278
Symmetry: P4/mmm (123)

---

CsAuSe2: optimized geometry, PBE.

abc: 6.4509 7.4776 7.9612
angles: 90.00 113.90 90.00
Sites, in units of the cell vectors:
1 Se 0.1148 0.5023 0.2295
2 Se 0.8852 0.4977 0.7705
3 Au 0.9984 0.7500 0.9968
4 Cs 0.3376 0.2500 0.6753
5 Au 0.0016 0.2500 0.0032
6 Cs 0.6624 0.7500 0.3247
7 Se 0.1148 0.9977 0.2295
8 Se 0.8852 0.0023 0.7705

Results
Theoretical density (g/cm3): 4.614
DFT total energy (eV per atom): -3.391
Symmetry: Cmcm (63)

---

CsAuSe: optimized geometry, PBE.

abc: 5.7076 5.7076 7.3008
angles: 90.00 90.00 100.13
Sites, in units of the cell vectors:
1 Au 0.0000 0.0000 0.0000
2 Cs 0.3662 0.6338 0.2500
3 Au 0.0000 0.0000 0.5000
4 Se 0.8115 0.1885 0.2500
5 Se 0.1885 0.8115 0.7500
6 Cs 0.6338 0.3662 0.7500

Results
Theoretical density (g/cm3): 5.799
DFT total energy (eV per atom): -3.324
Symmetry: Cmcm (63)

---

Cs2AuSe2: optimized geometry, PBE.

abc: 7.5706 7.5706 5.7520
angles: 90.00 90.00 90.00
Sites, in units of the cell vectors:
1 Au 0.5000 0.5000 0.0000
2 Cs 0.1634 0.6634 0.5000
3 Se 0.3368 0.8368 0.0000
4 Se 0.8368 0.6632 0.0000
5 Cs 0.8366 0.3366 0.5000
6 Se 0.6632 0.1632 0.0000
7 Cs 0.6634 0.8366 0.5000
8 Au 0.0000 0.0000 0.0000
9 Cs 0.3366 0.1634 0.5000
10 Se 0.1632 0.3368 0.0000

Results
Offset from the most stable computed form (meV per atom): 204.3
Theoretical density (g/cm3): 6.253
DFT total energy (eV per atom): -2.922
Symmetry: P4/mbm (127)

---

CsAuSe3: optimized geometry, PBE.

abc: 5.2947 5.2947 5.2947
angles: 90.00 90.00 90.00
Sites, in units of the cell vectors:
1 Cs 0.5000 0.5000 0.5000
2 Au 0.0000 0.0000 0.0000
3 Se 0.5000 0.0000 0.0000
4 Se 0.0000 0.0000 0.5000
5 Se 0.0000 0.5000 0.0000

Results
Theoretical density (g/cm3): 6.340
DFT total energy (eV per atom): -2.998
Symmetry: Pm-3m (221)